! Cs2PmTe4 | Alexandria via LeMat-Bulk | GGA-PBE | relaxed; values from VASP
&SYSTEM
  ibrav = 0, nat = 7, ntyp = 3
/
ATOMIC_SPECIES
Cs 132.91 Cs.upf
Pm 145.00 Pm.upf
Te 127.60 Te.upf
CELL_PARAMETERS angstrom
-1.144 3.282 -3.640
-6.135 -2.190 -0.047
0.585 7.899 6.937
ATOMIC_POSITIONS angstrom
Cs -1.531 4.270 0.851
Cs -5.163 4.721 2.399
Pm -3.067 -1.095 -0.024
Te -4.148 1.940 -0.426
Te -5.219 4.802 5.969
Te -2.545 7.050 3.676
Te -0.331 0.907 0.921
! * ρ: 4.7 Mg/m³
! * formation energy without anion corrections: -5.2 eV per formula unit